1.
Density functional theory data (PBE) for TmHfZnRh after structural relaxation.

Values from the calculation:
SG = F-43m, No. 216
crystal system = cubic
final energy = -6.27 eV per atom
DFT formation energy = -197 kJ/mol of formula units

a = 4.763 Å, b = 4.763 Å, c = 4.763 Å
α = 60.00°, β = 60.00°, γ = 60.00°
Fractional coordinates of all 4 atoms:
Tm (0.000, 0.000, 0.000)
Hf (0.500, 0.500, 0.500)
Zn (0.750, 0.750, 0.750)
Rh (0.250, 0.250, 0.250)

2.
Density functional theory data (PBE) for HfURh5 after structural relaxation.

Values from the calculation:
SG = P4/mmm, No. 123
crystal system = tetragonal
final energy = -8.88 eV per atom
DFT formation energy = -399 kJ/mol of formula units

a = 3.938 Å, b = 3.938 Å, c = 7.691 Å
α = 90.00°, β = 90.00°, γ = 90.00°
Fractional coordinates of all 7 atoms:
Hf (0.000, 0.000, 0.000)
U (0.500, 0.500, 0.500)
Rh (0.000, 0.500, 0.268)
Rh (0.000, 0.500, 0.732)
Rh (0.500, 0.000, 0.268)
Rh (0.500, 0.000, 0.732)
Rh (0.500, 0.500, 0.000)

3.
Density functional theory data (PBE) for HfURh after structural relaxation.

Values from the calculation:
SG = C2/m, No. 12
crystal system = monoclinic
final energy = -9.61 eV per atom
DFT formation energy = -22 kJ/mol of formula units

a = 7.372 Å, b = 7.372 Å, c = 5.840 Å
α = 103.08°, β = 103.08°, γ = 23.18°
Fractional coordinates of all 6 atoms:
Hf (0.227, 0.227, 0.225)
Hf (0.773, 0.773, 0.775)
U (0.442, 0.442, 0.134)
U (0.558, 0.558, 0.866)
Rh (0.392, 0.392, 0.555)
Rh (0.608, 0.608, 0.445)

4.
Density functional theory data (PBE) for HfURh6 after structural relaxation.

Values from the calculation:
SG = P4/mmm, No. 123
crystal system = tetragonal
final energy = -8.91 eV per atom
DFT formation energy = -570 kJ/mol of formula units

a = 3.983 Å, b = 3.983 Å, c = 7.952 Å
α = 90.00°, β = 90.00°, γ = 90.00°
Fractional coordinates of all 8 atoms:
Hf (0.000, 0.000, 0.000)
U (0.000, 0.000, 0.500)
Rh (0.000, 0.500, 0.251)
Rh (0.000, 0.500, 0.749)
Rh (0.500, 0.000, 0.251)
Rh (0.500, 0.000, 0.749)
Rh (0.500, 0.500, 0.000)
Rh (0.500, 0.500, 0.500)

5.
Density functional theory data (PBE) for HfURh6 after structural relaxation.

Values from the calculation:
SG = P4/mmm, No. 123
crystal system = tetragonal
final energy = -8.92 eV per atom
DFT formation energy = -582 kJ/mol of formula units

a = 5.624 Å, b = 5.624 Å, c = 3.987 Å
α = 90.00°, β = 90.00°, γ = 90.00°
Fractional coordinates of all 8 atoms:
Hf (0.000, 0.000, 0.000)
U (0.500, 0.500, 0.000)
Rh (0.000, 0.500, 0.000)
Rh (0.253, 0.253, 0.500)
Rh (0.253, 0.747, 0.500)
Rh (0.500, 0.000, 0.000)
Rh (0.747, 0.253, 0.500)
Rh (0.747, 0.747, 0.500)

6.
Density functional theory data (PBE) for HfU2Rh9 after structural relaxation.

Values from the calculation:
SG = P4/mmm, No. 123
crystal system = tetragonal
final energy = -8.94 eV per atom
DFT formation energy = -826 kJ/mol of formula units

a = 3.997 Å, b = 3.997 Å, c = 11.969 Å
α = 90.00°, β = 90.00°, γ = 90.00°
Fractional coordinates of all 12 atoms:
Hf (0.000, 0.000, 0.000)
U (0.000, 0.000, 0.330)
U (0.000, 0.000, 0.670)
Rh (0.000, 0.500, 0.166)
Rh (0.000, 0.500, 0.500)
Rh (0.000, 0.500, 0.834)
Rh (0.500, 0.000, 0.166)
Rh (0.500, 0.000, 0.500)
Rh (0.500, 0.000, 0.834)
Rh (0.500, 0.500, 0.000)
Rh (0.500, 0.500, 0.332)
Rh (0.500, 0.500, 0.668)

7.
Density functional theory data (PBE) for Hf2URh6 after structural relaxation.

Values from the calculation:
SG = P-62m, No. 189
crystal system = hexagonal
final energy = -8.90 eV per atom
DFT formation energy = -466 kJ/mol of formula units

a = 7.438 Å, b = 7.438 Å, c = 3.192 Å
α = 90.00°, β = 90.00°, γ = 120.00°
Fractional coordinates of all 9 atoms:
Hf (0.333, 0.667, 0.000)
Hf (0.667, 0.333, 0.000)
U (0.000, 0.000, 0.500)
Rh (0.000, 0.372, 0.500)
Rh (0.000, 0.718, 0.000)
Rh (0.282, 0.282, 0.000)
Rh (0.372, 0.000, 0.500)
Rh (0.628, 0.628, 0.500)
Rh (0.718, 0.000, 0.000)

8.
Density functional theory data (PBE) for Hf2VRh2 after structural relaxation.

Values from the calculation:
SG = P4/mbm, No. 127
crystal system = tetragonal
final energy = -9.19 eV per atom
DFT formation energy = -213 kJ/mol of formula units

a = 6.955 Å, b = 6.955 Å, c = 3.684 Å
α = 90.00°, β = 90.00°, γ = 90.00°
Fractional coordinates of all 10 atoms:
Hf (0.173, 0.327, 0.000)
Hf (0.327, 0.827, 0.000)
Hf (0.673, 0.173, 0.000)
Hf (0.827, 0.673, 0.000)
V (0.000, 0.000, 0.500)
V (0.500, 0.500, 0.500)
Rh (0.135, 0.635, 0.500)
Rh (0.365, 0.135, 0.500)
Rh (0.635, 0.865, 0.500)
Rh (0.865, 0.365, 0.500)

9.
Density functional theory data (PBE) for HfVRh after structural relaxation.

Values from the calculation:
SG = R3m, No. 160
crystal system = trigonal
final energy = -8.92 eV per atom
DFT formation energy = -33 kJ/mol of formula units

a = 6.517 Å, b = 6.517 Å, c = 6.517 Å
α = 27.00°, β = 27.00°, γ = 27.00°
Fractional coordinates of all 3 atoms:
Hf (0.000, 0.000, 0.000)
V (0.216, 0.216, 0.216)
Rh (0.783, 0.783, 0.783)

10.
Density functional theory data (PBE) for Hf5VRh4 after structural relaxation.

Values from the calculation:
SG = P4/mmm, No. 123
crystal system = tetragonal
final energy = -9.53 eV per atom
DFT formation energy = -678 kJ/mol of formula units

a = 3.295 Å, b = 3.295 Å, c = 16.097 Å
α = 90.00°, β = 90.00°, γ = 90.00°
Fractional coordinates of all 10 atoms:
Hf (0.000, 0.000, 0.000)
Hf (0.000, 0.000, 0.199)
Hf (0.000, 0.000, 0.399)
Hf (0.000, 0.000, 0.601)
Hf (0.000, 0.000, 0.801)
V (0.500, 0.500, 0.500)
Rh (0.500, 0.500, 0.099)
Rh (0.500, 0.500, 0.294)
Rh (0.500, 0.500, 0.706)
Rh (0.500, 0.500, 0.901)

11.
Density functional theory data (PBE) for HfVRh2 after structural relaxation.

Values from the calculation:
SG = P4/mmm, No. 123
crystal system = tetragonal
final energy = -8.98 eV per atom
DFT formation energy = -206 kJ/mol of formula units

a = 2.930 Å, b = 2.930 Å, c = 7.237 Å
α = 90.00°, β = 90.00°, γ = 90.00°
Fractional coordinates of all 4 atoms:
Hf (0.000, 0.000, 0.000)
V (0.000, 0.000, 0.500)
Rh (0.500, 0.500, 0.280)
Rh (0.500, 0.500, 0.720)

12.
Density functional theory data (PBE) for HfVRh5 after structural relaxation.

Values from the calculation:
SG = P4/mmm, No. 123
crystal system = tetragonal
final energy = -8.36 eV per atom
DFT formation energy = -256 kJ/mol of formula units

a = 4.018 Å, b = 4.018 Å, c = 6.783 Å
α = 90.00°, β = 90.00°, γ = 90.00°
Fractional coordinates of all 7 atoms:
Hf (0.000, 0.000, 0.000)
V (0.500, 0.500, 0.500)
Rh (0.000, 0.500, 0.289)
Rh (0.000, 0.500, 0.711)
Rh (0.500, 0.000, 0.289)
Rh (0.500, 0.000, 0.711)
Rh (0.500, 0.500, 0.000)

13.
Density functional theory data (PBE) for Hf2VRh4 after structural relaxation.

Values from the calculation:
SG = I4/mmm, No. 139
crystal system = tetragonal
final energy = -8.25 eV per atom
DFT formation energy = 65 kJ/mol of formula units

a = 7.289 Å, b = 7.289 Å, c = 7.289 Å
α = 144.19°, β = 144.19°, γ = 51.54°
Fractional coordinates of all 7 atoms:
Hf (0.134, 0.134, 0.000)
Hf (0.866, 0.866, 0.000)
V (0.500, 0.500, 0.000)
Rh (0.000, 0.500, 0.500)
Rh (0.317, 0.317, 0.000)
Rh (0.500, 0.000, 0.500)
Rh (0.683, 0.683, 0.000)

14.
Density functional theory data (PBE) for HfVRh3 after structural relaxation.

Values from the calculation:
SG = Pm-3m, No. 221
crystal system = cubic
final energy = -7.98 eV per atom
DFT formation energy = 119 kJ/mol of formula units

a = 4.474 Å, b = 4.474 Å, c = 4.474 Å
α = 90.00°, β = 90.00°, γ = 90.00°
Fractional coordinates of all 5 atoms:
Hf (0.000, 0.000, 0.000)
V (0.500, 0.500, 0.500)
Rh (0.000, 0.500, 0.500)
Rh (0.500, 0.000, 0.500)
Rh (0.500, 0.500, 0.000)

15.
Density functional theory data (PBE) for Hf2V2Rh after structural relaxation.

Values from the calculation:
SG = P4/mbm, No. 127
crystal system = tetragonal
final energy = -9.19 eV per atom
DFT formation energy = -45 kJ/mol of formula units

a = 6.371 Å, b = 6.371 Å, c = 4.296 Å
α = 90.00°, β = 90.00°, γ = 90.00°
Fractional coordinates of all 10 atoms:
Hf (0.171, 0.329, 0.000)
Hf (0.329, 0.829, 0.000)
Hf (0.671, 0.171, 0.000)
Hf (0.829, 0.671, 0.000)
V (0.134, 0.634, 0.500)
V (0.366, 0.134, 0.500)
V (0.634, 0.866, 0.500)
V (0.866, 0.366, 0.500)
Rh (0.000, 0.000, 0.500)
Rh (0.500, 0.500, 0.500)

16.
Density functional theory data (PBE) for Hf2V3Rh after structural relaxation.

Values from the calculation:
SG = R-3m, No. 166
crystal system = trigonal
final energy = -9.46 eV per atom
DFT formation energy = -206 kJ/mol of formula units

a = 5.209 Å, b = 5.209 Å, c = 5.209 Å
α = 59.14°, β = 59.14°, γ = 59.14°
Fractional coordinates of all 6 atoms:
Hf (0.125, 0.125, 0.125)
Hf (0.875, 0.875, 0.875)
V (0.000, 0.500, 0.500)
V (0.500, 0.000, 0.500)
V (0.500, 0.500, 0.000)
Rh (0.500, 0.500, 0.500)

17.
Density functional theory data (PBE) for HfVRh after structural relaxation.

Values from the calculation:
SG = I4mm, No. 107
crystal system = tetragonal
final energy = -9.18 eV per atom
DFT formation energy = -109 kJ/mol of formula units

a = 5.393 Å, b = 5.393 Å, c = 5.393 Å
α = 146.01°, β = 146.01°, γ = 48.83°
Fractional coordinates of all 3 atoms:
Hf (0.000, 0.000, 0.000)
V (0.677, 0.677, 0.000)
Rh (0.325, 0.325, 0.000)

18.
Density functional theory data (PBE) for HfV4Rh after structural relaxation.

Values from the calculation:
SG = F-43m, No. 216
crystal system = cubic
final energy = -9.07 eV per atom
DFT formation energy = -59 kJ/mol of formula units

a = 5.024 Å, b = 5.024 Å, c = 5.024 Å
α = 60.00°, β = 60.00°, γ = 60.00°
Fractional coordinates of all 6 atoms:
Hf (0.000, 0.000, 0.000)
V (0.122, 0.626, 0.626)
V (0.626, 0.122, 0.626)
V (0.626, 0.626, 0.122)
V (0.626, 0.626, 0.626)
Rh (0.250, 0.250, 0.250)

19.
Density functional theory data (PBE) for HfV3Rh6 after structural relaxation.

Values from the calculation:
SG = P2_1/m, No. 11
crystal system = monoclinic
final energy = -8.64 eV per atom
DFT formation energy = -477 kJ/mol of formula units

a = 8.401 Å, b = 3.934 Å, c = 8.801 Å
α = 90.00°, β = 93.07°, γ = 90.00°
Fractional coordinates of all 20 atoms:
Hf (0.067, 0.250, 0.381)
Hf (0.933, 0.750, 0.619)
V (0.251, 0.250, 0.022)
V (0.337, 0.750, 0.814)
V (0.437, 0.250, 0.608)
V (0.563, 0.750, 0.392)
V (0.663, 0.250, 0.186)
V (0.749, 0.750, 0.978)
Rh (0.061, 0.750, 0.908)
Rh (0.157, 0.250, 0.709)
Rh (0.163, 0.750, 0.197)
Rh (0.268, 0.750, 0.508)
Rh (0.384, 0.250, 0.308)
Rh (0.467, 0.750, 0.101)
Rh (0.533, 0.250, 0.899)
Rh (0.616, 0.750, 0.692)
Rh (0.732, 0.250, 0.492)
Rh (0.837, 0.250, 0.803)
Rh (0.843, 0.750, 0.291)
Rh (0.939, 0.250, 0.092)

20.
Density functional theory data (PBE) for HfVRh2 after structural relaxation.

Values from the calculation:
SG = P4/mmm, No. 123
crystal system = tetragonal
final energy = -9.01 eV per atom
DFT formation energy = -219 kJ/mol of formula units

a = 4.186 Å, b = 4.186 Å, c = 3.603 Å
α = 90.00°, β = 90.00°, γ = 90.00°
Fractional coordinates of all 4 atoms:
Hf (0.000, 0.000, 0.000)
V (0.500, 0.500, 0.000)
Rh (0.000, 0.500, 0.500)
Rh (0.500, 0.000, 0.500)

21.
Density functional theory data (PBE) for HfVRh2 after structural relaxation.

Values from the calculation:
SG = I-42d, No. 122
crystal system = tetragonal
final energy = -8.38 eV per atom
DFT formation energy = 25 kJ/mol of formula units

a = 8.796 Å, b = 8.796 Å, c = 8.796 Å
α = 152.90°, β = 152.90°, γ = 38.70°
Fractional coordinates of all 8 atoms:
Hf (0.000, 0.000, 0.000)
Hf (0.750, 0.250, 0.500)
V (0.250, 0.750, 0.500)
V (0.500, 0.500, 0.000)
Rh (0.151, 0.625, 0.026)
Rh (0.375, 0.401, 0.526)
Rh (0.599, 0.125, 0.974)
Rh (0.875, 0.849, 0.474)

22.
Density functional theory data (PBE) for HfVRh2W after structural relaxation.

Values from the calculation:
SG = P4/mmm, No. 123
crystal system = tetragonal
final energy = -8.46 eV per atom
DFT formation energy = 427 kJ/mol of formula units

a = 4.726 Å, b = 4.726 Å, c = 4.477 Å
α = 90.00°, β = 90.00°, γ = 90.00°
Fractional coordinates of all 5 atoms:
Hf (0.000, 0.000, 0.000)
V (0.500, 0.500, 0.000)
Rh (0.000, 0.500, 0.500)
Rh (0.500, 0.000, 0.500)
W (0.500, 0.500, 0.500)

23.
Density functional theory data (PBE) for YHf2VRh after structural relaxation.

Values from the calculation:
SG = P4/mmm, No. 123
crystal system = tetragonal
final energy = -7.92 eV per atom
DFT formation energy = 311 kJ/mol of formula units

a = 4.944 Å, b = 4.944 Å, c = 5.209 Å
α = 90.00°, β = 90.00°, γ = 90.00°
Fractional coordinates of all 5 atoms:
Y (0.000, 0.000, 0.000)
Hf (0.000, 0.500, 0.500)
Hf (0.500, 0.000, 0.500)
V (0.500, 0.500, 0.000)
Rh (0.000, 0.000, 0.500)

24.
Density functional theory data (PBE) for HfRh6W after structural relaxation.

Values from the calculation:
SG = P4/mmm, No. 123
crystal system = tetragonal
final energy = -8.91 eV per atom
DFT formation energy = -414 kJ/mol of formula units

a = 5.529 Å, b = 5.529 Å, c = 3.894 Å
α = 90.00°, β = 90.00°, γ = 90.00°
Fractional coordinates of all 8 atoms:
Hf (0.000, 0.000, 0.000)
Rh (0.000, 0.500, 0.000)
Rh (0.257, 0.257, 0.500)
Rh (0.257, 0.743, 0.500)
Rh (0.500, 0.000, 0.000)
Rh (0.743, 0.257, 0.500)
Rh (0.743, 0.743, 0.500)
W (0.500, 0.500, 0.000)

25.
Density functional theory data (PBE) for HfRh3W after structural relaxation.

Values from the calculation:
SG = Pm-3m, No. 221
crystal system = cubic
final energy = -8.18 eV per atom
DFT formation energy = 390 kJ/mol of formula units

a = 4.672 Å, b = 4.672 Å, c = 4.672 Å
α = 90.00°, β = 90.00°, γ = 90.00°
Fractional coordinates of all 5 atoms:
Hf (0.000, 0.000, 0.000)
Rh (0.000, 0.500, 0.500)
Rh (0.500, 0.000, 0.500)
Rh (0.500, 0.500, 0.000)
W (0.500, 0.500, 0.500)

26.
Density functional theory data (PBE) for Hf3RhW after structural relaxation.

Values from the calculation:
SG = Pm-3m, No. 221
crystal system = cubic
final energy = -8.97 eV per atom
DFT formation energy = 511 kJ/mol of formula units

a = 4.971 Å, b = 4.971 Å, c = 4.971 Å
α = 90.00°, β = 90.00°, γ = 90.00°
Fractional coordinates of all 5 atoms:
Hf (0.000, 0.000, 0.500)
Hf (0.000, 0.500, 0.000)
Hf (0.500, 0.000, 0.000)
Rh (0.500, 0.500, 0.500)
W (0.000, 0.000, 0.000)